Material: YPuB
Method: DFT, PBE
State: optimized geometry

space group: F-43m (216)
V: 63.4 Å³/cell
crystal system: cubic
relative energy among the computed polymorphs: 0 meV per atom
electronic total energy: -0.6554 Ry/atom

Lattice parameters (Å, degrees): 4.4755 4.4755 4.4755 60.00 60.00 60.00
Sites, in units of the cell vectors:
Y1 0.0000 0.0000 0.0000
Pu1 0.5000 0.5000 0.5000
B1 0.7500 0.7500 0.7500



Material: IrF5
Method: DFT, PBE
State: optimized geometry

space group: Cmcm (63)
V: 108.3 Å³/cell
crystal system: orthorhombic
relative energy among the computed polymorphs: 569 meV per atom
electronic total energy: -0.2769 Ry/atom

Lattice parameters (Å, degrees): 4.5930 4.5930 7.1737 90.00 90.00 134.29
Sites, in units of the cell vectors:
Ir1 0.1461 0.8539 0.7500
Ir2 0.8539 0.1461 0.2500
F1 0.0000 0.0000 0.0000
F2 0.0000 0.0000 0.5000
F3 0.2277 0.7723 0.2500
F4 0.3029 0.6971 0.5665
F5 0.3029 0.6971 0.9335
F6 0.4789 0.5211 0.2500
F7 0.5211 0.4789 0.7500
F8 0.6971 0.3029 0.0665
F9 0.6971 0.3029 0.4335
F10 0.7723 0.2277 0.7500



Material: SrPrNO
Method: DFT, PBE
State: optimized geometry

space group: Pmc2_1 (26)
V: 162.4 Å³/cell
crystal system: orthorhombic
relative energy among the computed polymorphs: 38 meV per atom
electronic total energy: -0.5030 Ry/atom

Lattice parameters (Å, degrees): 4.3639 7.1702 5.1889 90.00 90.00 90.00
Sites, in units of the cell vectors:
Sr1 0.0000 0.1715 0.0000
Sr2 0.0000 0.8285 0.5000
Pr1 0.5000 0.3309 0.5003
Pr2 0.5000 0.6691 0.0003
N1 0.5000 0.3464 0.9911
N2 0.5000 0.6536 0.4911
O1 0.0000 0.1809 0.4969
O2 0.0000 0.8191 0.9969



V of number 3 (SrPrNO)?
162.4 Å³/cell